OsRhW2, relaxed, DFT GGA-PBE; VASP energy = -11.164 eV per atom; DOS(E_F) = 1.093 states/eV/atom; energy of formation = -0.0423 eV per atom
1.0
2.7856 0.0000 0.0000
0.0000 3.9099 0.0000
0.0000 0.0000 5.5702
Os Rh W
1 1 2
Direct
0.0000 0.0000 0.0000
0.0000 0.0000 0.5000
0.5000 0.5000 0.2466
0.5000 0.5000 0.7534

LaMoAs2, relaxed, DFT GGA-PBE; VASP energy = -6.757 eV per atom; DOS(E_F) = 0.484 states/eV/atom; energy of formation = -0.4930 eV per atom
1.0
4.8236 0.0000 0.0000
0.0000 1.8677 5.2134
0.0000 -1.8677 5.2134
La Mo As
1 1 2
Direct
0.0000 0.0000 0.0000
0.5000 0.7425 0.7425
0.0000 0.7210 0.7210
0.5000 0.4149 0.4149

Pt2RhCl, relaxed, DFT GGA-PBE; formation energy without anion corrections = 2.5 eV per formula unit; VASP energy = -4.707 eV per atom; DOS(E_F) = 1.518 states/eV/atom
1.0
0.0000 3.1707 3.1707
3.1707 0.0000 3.1707
3.1707 3.1707 0.0000
Pt Rh Cl
2 1 1
Direct
0.0000 0.0000 0.0000
0.2500 0.2500 0.2500
0.5000 0.5000 0.5000
0.7500 0.7500 0.7500

no.,spin magnetization (μB/atom)
1,0.000
2,0.000
3,0.001